(1)
10
Lattice="-4.2876 1.8336 3.1525 -1.9645 -8.7598 2.4231 5.8428 5.4138 4.7978" Properties=species:S:1:pos:R:3 comment="Pm2PrSm7, relaxed, DFT GGA-PBE" relative_energy_mev_per_atom=254 magmom_total_mub_per_cell=0.000 pbc="T T T"
Sm -0.5540 1.9403 3.1432
Sm 0.1447 -3.4528 7.2302
Sm 4.0899 2.2315 4.2646
Sm -0.2116 -5.5776 2.9562
Sm -0.2046 -0.7563 5.1867
Sm 1.9333 -0.2057 7.7742
Sm -2.3426 -1.3068 2.5992
Pm 1.3820 2.1241 5.6693
Pm -1.7912 -3.6366 4.7041
Pr 0.0000 0.0000 0.0000

(2)
4
Lattice="-0.2633 2.2792 -2.2586 -4.9655 -1.2097 -0.6420 -1.5253 3.2198 5.7302" Properties=species:S:1:pos:R:3 comment="LuPa, relaxed, DFT GGA-PBE" magmom_total_mub_per_cell=0.000 dft_energy_ev_per_atom=-6.831 pbc="T T T"
Lu -2.2968 2.4733 2.7727
Lu -4.4572 1.8159 0.0569
Pa -1.4041 0.1265 0.2902
Pa -5.3499 4.1627 2.5395

(3)
4
Lattice="-1.6733 0.2925 -1.9558 1.8091 -1.7293 -0.6688 -4.7511 -6.1848 3.1399" Properties=species:S:1:pos:R:3 comment="Fe2CoAg, relaxed, DFT GGA-PBE" relative_energy_mev_per_atom=39 magmom_total_mub_per_cell=7.116 pbc="T T T"
Fe -1.0146 -2.1275 -0.5969
Fe -4.7357 -6.1647 3.1297
Ag -2.3833 -3.1024 1.5750
Co -3.6084 -5.5040 1.1173

(4)
8
Lattice="-3.2247 -2.0478 -1.2633 -0.6248 -1.5724 4.1438 -6.3980 8.6463 2.3161" Properties=species:S:1:pos:R:3 comment="La4ZnRh3, relaxed, DFT GGA-PBE" magmom_total_mub_per_cell=0.000 dft_energy_ev_per_atom=-6.029 pbc="T T T"
La -0.9092 1.2287 0.3291
La -5.7554 6.5695 4.0422
La -4.3121 1.4163 2.3045
La -5.6811 4.4746 0.8412
Rh -4.1233 4.3638 3.4514
Rh -2.5781 3.4840 0.9333
Rh -7.5745 7.0333 1.5266
Zn -2.3575 -1.2252 1.5969

(5)
4
Lattice="-3.4120 -3.3055 -1.7704 1.1944 -4.9116 -0.3903 -2.1163 -3.3799 3.1305" Properties=species:S:1:pos:R:3 comment="TaIn2Br, relaxed, DFT GGA-PBE" relative_energy_mev_per_atom=586 raw_formation_energy_ev_per_atom=0.71 magmom_total_mub_per_cell=2.171 pbc="T T T"
Ta -3.2504 -8.6978 0.7273
In 0.0000 0.0000 0.0000
In -1.0835 -2.8993 0.2424
Br -2.1669 -5.7985 0.4849

(6)
10
Lattice="-1.9386 -3.0726 2.4114 3.8966 -1.7067 0.9579 0.6286 6.0344 8.1943" Properties=species:S:1:pos:R:3 comment="La2Al3SiPt4, relaxed, DFT GGA-PBE" raw_formation_energy_ev_per_atom=-1.13 magmom_total_mub_per_cell=0.000 pbc="T T T"
Pt -0.5767 2.2332 6.3244
Pt 0.0000 0.0000 0.0000
Pt 0.9790 -2.3896 1.6847
Pt 2.1842 1.4116 3.5546
La 2.4160 3.6364 6.5757
La -0.8084 0.0084 3.3032
Si 1.2933 0.6276 5.7818
Al 2.0279 -0.0896 1.5161
Al 0.3143 3.0172 4.0971
Al -0.4203 3.7344 8.3628

(7)
4
Lattice="-2.6118 -2.8341 2.0865 -2.6988 -2.5860 -2.2882 0.7857 -4.3038 -0.2597" Properties=species:S:1:pos:R:3 comment="TaTiFeRh, relaxed, DFT GGA-PBE" magmom_total_mub_per_cell=1.236 dft_energy_ev_per_atom=-9.256 pbc="T T T"
Rh -2.2625 -4.8619 -0.2307
Ta -1.1312 -2.4310 -0.1154
Fe 0.0000 0.0000 0.0000
Ti -3.3937 -7.2929 -0.3461

(8)
80
Lattice="11.5641 0.0000 0.0000 -3.8547 10.9027 0.0000 -3.8547 -5.4514 9.4420" Properties=species:S:1:pos:R:3 comment="Tb5Nd3H12, relaxed, DFT GGA-PBE" magmom_total_mub_per_cell=0.020 dft_energy_ev_per_atom=-4.340 pbc="T T T"
H -4.0256 8.0383 3.3371
H -3.6838 4.1835 8.8702
H 2.2046 4.1082 0.7021
H 7.8803 -2.5870 6.1050
H -3.2448 4.8043 5.2929
H 1.3174 4.2602 6.2352
H 1.6501 -1.2796 8.6299
H 6.3919 -0.5441 2.0861
H -0.2773 6.7945 0.7021
H -3.1384 9.2930 1.3840
H 7.9866 5.5149 1.5142
H 5.9529 9.6348 0.5718
H 2.6436 4.7291 4.0189
H -1.2111 3.8416 8.0581
H 1.2111 0.7223 5.4231
H 4.1320 1.2796 8.6299
H -0.7163 6.1736 4.0189
H 1.7565 7.0479 3.9089
H 1.6501 1.3431 8.7399
H 2.2046 6.7310 0.8121
H 5.1721 6.0984 5.2929
H 8.4257 2.3320 2.6350
H -2.0982 2.5870 6.1050
H -2.5373 5.9954 7.3560
H -1.2111 -3.1193 6.8071
H 3.2448 -1.1911 3.2068
H 0.1709 3.8549 3.9089
H 7.0995 0.6471 4.1492
H 4.5710 -0.7223 5.4231
H -0.2773 4.1718 0.8121
H 4.1320 -1.3431 8.7399
H -2.0983 -4.1835 8.8702
H 7.5385 1.2679 0.5718
H 5.0658 1.6098 1.3840
H -4.1320 -0.0635 7.9278
H 2.0982 -1.5965 5.5331
H 3.6838 1.5965 5.5331
H 4.4646 4.9073 7.3560
H 5.0658 8.5707 2.6350
H -4.5710 3.1193 6.8071
H -1.3174 -0.6471 4.1492
H 6.9931 -3.8416 8.0581
H 5.5048 5.3879 1.5142
H 0.6099 6.6425 6.2352
H 2.5373 1.1911 3.2068
H -0.6099 0.5441 2.0861
H -1.6501 0.0635 7.9278
H 5.9529 2.8644 3.3371
Tb 0.9637 3.4071 8.2618
Tb 2.8910 8.1770 2.3605
Tb 4.8184 -3.4071 8.2618
Tb -1.9273 -2.7257 4.7210
Tb 4.8184 4.7699 3.5408
Tb -0.9637 2.7257 2.3605
Tb -0.9637 8.8585 1.1803
Tb -1.9273 5.4514 0.0000
Tb -3.8547 2.7257 4.7210
Tb -2.8910 6.1328 3.5408
Tb 0.9637 -2.7257 7.0815
Tb 4.8184 2.7257 7.0815
Tb 0.0000 0.0000 0.0000
Tb 2.8910 2.0443 1.1803
Tb 5.7820 0.0000 0.0000
Tb 3.8547 -2.7257 4.7210
Tb 1.9273 2.7257 4.7210
Tb 6.7457 -0.6814 5.9013
Tb -0.9637 0.6814 5.9013
Tb 3.8547 5.4514 0.0000
Nd 2.8910 6.1328 5.9013
Nd 8.6731 0.0000 2.3605
Nd 0.9637 -0.6814 3.5408
Nd 4.8184 0.6814 3.5408
Nd 6.7457 7.4956 1.1803
Nd 0.9637 5.4514 2.3605
Nd 2.8910 0.0000 7.0815
Nd -4.8184 5.4514 7.0815
Nd -2.8910 2.0443 8.2618
Nd 6.7457 3.4071 1.1803
Nd -0.9637 4.7699 5.9013
Nd -2.8910 -2.0443 8.2618

(9)
6
Lattice="26.4155 0.0000 0.0010 8.4633 1.4317 -1.6378 -8.4633 1.4317 1.6378" Properties=species:S:1:pos:R:3 comment="KBC, relaxed, DFT GGA-PBE" magmom_total_mub_per_cell=0.000 dft_energy_ev_per_atom=-5.512 pbc="T T T"
K 15.4914 2.1650 -0.0977
K 2.2836 2.1302 -0.0982
C 12.6911 0.6755 0.4727
C -0.5166 0.7562 0.4722
B -0.5529 2.1886 0.4309
B 12.6548 2.1067 0.4314

(10)
10
Lattice="3.8887 -0.0001 0.0001 0.0006 8.1131 1.3490 0.0000 0.4836 8.5081" Properties=species:S:1:pos:R:3 comment="Th3CoPt, relaxed, DFT GGA-PBE" relative_energy_mev_per_atom=7 magmom_total_mub_per_cell=0.000 pbc="T T T"
Th 0.7131 3.2110 4.8712
Th 2.6582 4.4494 8.2549
Th 0.7136 6.8265 5.9034
Th 2.6580 6.1165 2.8710
Th 2.6576 0.8340 7.2231
Th 0.7132 1.0605 1.7474
Co 2.6578 5.0236 5.4257
Co 0.7136 2.6371 7.7006
Pt 0.7136 6.6698 9.0312
Pt 2.6572 0.9905 4.0953

(11)
12
Lattice="-0.8050 -2.5198 7.6246 6.1518 -2.6555 -4.4984 2.4878 7.5770 1.3428" Properties=species:S:1:pos:R:3 comment="Ac3Ce2PrSb6, relaxed, DFT GGA-PBE" raw_formation_energy_ev_per_atom=-1.15 magmom_total_mub_per_cell=1.565 pbc="T T T"
Sb 3.0685 0.4754 -0.9544
Sb 4.5433 -2.0688 2.6304
Sb 4.7661 1.9263 5.4234
Sb 3.2913 4.4705 1.8386
Sb 7.1056 1.8806 1.3465
Sb 0.7290 0.5211 3.1225
Ce 3.8355 -2.6103 -0.4621
Ce 1.5112 -2.5650 3.5883
Ac 6.2425 1.1555 -1.8174
Ac 3.9173 1.2008 2.2345
Ac 1.5921 1.2462 6.2864
Pr 0.0000 0.0000 0.0000

(12)
18
Lattice="-0.6982 -4.0350 0.3274 8.2554 0.2882 -4.6164 2.5182 0.4515 10.9353" Properties=species:S:1:pos:R:3 comment="SmIn3Pt2, relaxed, DFT GGA-PBE" magmom_total_mub_per_cell=0.000 dft_energy_ev_per_atom=-4.787 pbc="T T T"
In 5.2479 -1.1135 -2.5320
In 1.4314 0.0223 3.3270
In 4.8274 -2.1818 9.1783
In 7.9447 -0.9367 5.3979
In 0.9100 -1.7917 5.6314
In 4.4304 -0.5744 2.3680
In 2.1307 -2.3586 1.2484
In 5.6450 -2.7208 4.2783
In 8.6440 -3.3175 3.3193
Sm 4.2563 -0.2250 6.3031
Sm 5.8190 -3.0702 0.3432
Sm 0.0000 0.0000 0.0000
Pt 7.0669 -1.0124 2.5922
Pt 3.7682 -0.6754 -0.2890
Pt 7.8902 -1.5438 -2.2014
Pt 2.1852 -1.7514 8.8478
Pt 3.0085 -2.2828 4.0542
Pt 6.3072 -2.6198 6.9353

(13)
4
Lattice="-4.2977 -1.6007 -0.6899 -2.5836 -1.9080 -3.3456 0.2884 -4.4091 0.6963" Properties=species:S:1:pos:R:3 comment="Mo2AsP, relaxed, DFT GGA-PBE" relative_energy_mev_per_atom=162 magmom_total_mub_per_cell=0.000 pbc="T T T"
Mo -5.0450 -5.6688 -2.6003
Mo -6.8119 -3.7408 -3.9638
As -1.6779 -1.7837 -0.8766
P -3.2358 -4.1921 -1.6035

(14)
6
Lattice="5.3377 -2.6499 -0.0085 5.3377 2.6499 -0.0085 4.0291 0.0000 4.3907" Properties=species:S:1:pos:R:3 comment="Mg2Ti, relaxed, DFT GGA-PBE" magmom_total_mub_per_cell=3.995 dft_energy_ev_per_atom=-3.509 pbc="T T T"
Mg 5.3377 0.9071 -0.0085
Mg 4.9074 -1.7785 1.4381
Mg 4.4594 0.8714 2.9441
Mg 7.3522 0.0000 2.1869
Ti 2.4760 0.0000 0.7365
Ti 12.2284 0.0000 3.6373

(15)
4
Lattice="2.4726 0.0000 0.0000 -0.8242 4.7354 0.0000 -0.8242 -2.3677 4.1010" Properties=species:S:1:pos:R:3 comment="FeCu3, relaxed, DFT GGA-PBE" magmom_total_mub_per_cell=2.695 dft_energy_ev_per_atom=-5.010 pbc="T T T"
Cu 0.0000 0.0000 0.0000
Cu 0.8242 2.3677 0.0000
Cu -0.8242 1.1838 2.0505
Fe 0.8242 -1.1838 2.0505

(16)
4
Lattice="5.9716 0.0000 0.0000 0.0000 3.7957 -0.0040 0.0000 0.9389 6.2728" Properties=species:S:1:pos:R:3 comment="SrLa2In, relaxed, DFT GGA-PBE" magmom_total_mub_per_cell=0.000 dft_energy_ev_per_atom=-3.704 pbc="T T T"
La 0.0000 4.5493 5.9997
La 0.0000 2.5526 3.4036
Sr 2.9858 1.1837 1.5672
In 2.9858 3.5510 4.7017

(17)
5
Lattice="-1.8564 2.0539 -3.5250 -3.4989 -2.7931 0.2152 -2.0980 2.8409 2.7601" Properties=species:S:1:pos:R:3 comment="ZrFe3Rh, relaxed, DFT GGA-PBE" relative_energy_mev_per_atom=716 magmom_total_mub_per_cell=6.779 pbc="T T T"
Fe -0.9282 1.0269 -1.7625
Fe -1.7495 -1.3965 0.1076
Fe -1.0490 1.4204 1.3800
Rh -3.7266 1.0508 -0.2748
Zr 0.0000 0.0000 0.0000

(18)
5
Lattice="5.0478 0.0000 0.0000 0.0000 4.6707 0.0000 0.0000 0.0000 5.0478" Properties=species:S:1:pos:R:3 comment="TiCuReBi2, relaxed, DFT GGA-PBE" magmom_total_mub_per_cell=1.520 dft_energy_ev_per_atom=-5.083 pbc="T T T"
Bi 0.0000 0.0000 2.5239
Bi 2.5239 0.0000 0.0000
Ti 0.0000 2.3353 0.0000
Cu 0.0000 0.0000 0.0000
Re 2.5239 2.3353 2.5239

(19)
4
Lattice="-0.7110 -2.8671 -3.5459 3.5841 -1.6043 -2.4248 1.5469 -8.2214 3.3341" Properties=species:S:1:pos:R:3 comment="Ba2CdPt, relaxed, DFT GGA-PBE" magmom_total_mub_per_cell=0.000 dft_energy_ev_per_atom=-3.183 pbc="T T T"
Pt 1.9169 -2.9974 -3.9675
Ba 1.4295 -6.8805 2.2734
Ba 1.0752 -2.8331 -0.9282
Cd 2.2084 -6.3283 -1.3327

(20)
7
Lattice="4.7479 0.0000 0.0000 0.0000 4.7479 0.0000 -2.3740 -2.3740 9.6142" Properties=species:S:1:pos:R:3 comment="Ac2NdI2N2, relaxed, DFT GGA-PBE" raw_formation_energy_ev_per_atom=-1.12 magmom_total_mub_per_cell=0.979 pbc="T T T"
Nd 0.0000 0.0000 0.0000
N 0.0000 2.3740 0.0000
N 2.3740 0.0000 0.0000
Ac 2.3740 2.3740 1.6068
Ac 0.0000 0.0000 8.0074
I 0.0000 0.0000 3.2828
I 2.3740 2.3740 6.3314

(21)
3
Lattice="2.9278 0.0000 0.0000 0.0000 2.9278 0.0000 -1.4639 -1.4639 5.4571" Properties=species:S:1:pos:R:3 comment="TaGaIr, relaxed, DFT GGA-PBE" magmom_total_mub_per_cell=0.000 dft_energy_ev_per_atom=-8.343 pbc="T T T"
Ga 0.0000 0.0000 3.1868
Ta 1.4639 1.4639 1.2541
Ir 1.4639 1.4639 4.8362

(22)
19
Lattice="7.6609 0.0588 0.9696 0.8619 7.6125 0.9696 0.0653 0.0588 7.7217" Properties=species:S:1:pos:R:3 comment="CaLaCd17, relaxed, DFT GGA-PBE" magmom_total_mub_per_cell=0.000 dft_energy_ev_per_atom=-1.341 pbc="T T T"
La 2.8627 2.5767 3.2203
Cd 5.4860 4.9379 2.4680
Cd 3.1246 2.8124 7.1436
Cd 0.8549 0.7695 0.9617
Cd 8.2721 5.4100 3.9743
Cd 6.2478 7.6591 3.9743
Cd 3.8081 0.0613 0.5179
Cd 6.7283 2.8124 3.9401
Cd 0.4604 3.7807 0.5179
Cd 7.7032 6.9336 8.6655
Cd 3.5026 6.3962 3.9401
Cd 5.6925 2.3939 8.6808
Cd 1.8082 4.9379 5.7374
Cd 0.0682 0.0613 3.8425
Cd 5.1003 1.2804 5.7374
Cd 3.2149 7.6591 6.6704
Cd 7.9540 2.3939 6.6704
Cd 2.9777 5.4100 8.6808
Ca 5.7204 5.1488 6.4349